Record 1
Cd2SbI after structural relaxation. Source: the Alexandria database, functional PBE.

Cell and atoms, written as extended XYZ:
```
4
Lattice="0.0000 3.8444 3.8444 3.8444 0.0000 3.8444 3.8444 3.8444 0.0000" Properties=species:S:1:pos:R:3 pbc="T T T"
Cd 5.7666 5.7666 5.7666
I 3.8444 3.8444 3.8444
Cd 1.9222 1.9222 1.9222
Sb 0.0000 0.0000 0.0000
```

The energy above the most stable polymorph in this dataset comes out at 458 meV/atom. Its density of states at the Fermi level is 0.60 states/eV per atom. For the uncorrected formation energy, the calculation gives 0.2071 eV per atom. As for the space group: Fm-3m, No. 225.

=====

Record 2
Y2ClF after structural relaxation. Source: the Alexandria database, functional PBE.

Cell and atoms, written as extended XYZ:
```
8
Lattice="-3.0272 4.8584 -1.5167 -1.1486 -2.3713 -5.3034 -6.9362 -1.1196 -1.3034" Properties=species:S:1:pos:R:3 pbc="T T T"
Cl 0.0000 0.0000 0.0000
F -2.0879 1.2436 -3.4101
Y -8.8068 1.4380 -6.7181
Y -2.9599 -0.9467 -3.8950
Y -6.8172 -0.0085 -3.7621
F -5.0863 -1.1237 -5.0084
Cl -6.0256 2.4912 -3.1151
Y -3.6400 2.2522 -1.8718
```

The energy above the most stable polymorph in this dataset comes out at 0 meV/atom. Its density of states at the Fermi level is 0.24 states/eV per atom. For the uncorrected formation energy, the calculation gives -1.5896 eV per atom. As for the space group: I-42d, No. 122.

=====

Record 3
Tb8InPd2 after structural relaxation. Source: the Alexandria database, functional PBE.

Cell and atoms, written as extended XYZ:
```
11
Lattice="-1.3972 1.7753 -4.9892 2.2997 -7.5277 -1.9985 -7.2817 0.5382 3.5547" Properties=species:S:1:pos:R:3 pbc="T T T"
Tb -0.7211 -4.6852 -3.1472
Tb -2.3077 -0.3049 0.6206
Tb -4.0715 -4.9093 -4.0537
In -0.6986 0.8876 -2.4946
Tb -6.4297 -2.9241 -2.6869
Tb -3.4518 -3.6923 -0.5927
Pd -4.3773 -1.9068 1.8714
Tb 0.0505 -2.2901 -0.7461
Pd -0.6047 -5.0827 -0.3152
Tb -2.9274 -1.5219 -2.8403
Tb -5.6581 -0.5290 -0.2858
```

Its density of states at the Fermi level is 1.29 states/eV per atom. As for the space group: C2/m, No. 12. As for the calculated formation energy: -0.3220 eV per atom.